EuHAu | the Alexandria database | PBE-GGA | relaxed; distance to the lowest polymorph of the same formula = 0.28 eV/f.u.; electronic total energy = -18.1 eV for the cell shown; symmetry = F-43m (216)
1.0
-3.335 2.024 1.969
-2.651 -2.237 2.658
0.116 0.715 4.310
Eu Au H
1 1 1
Direct
0.500 0.500 0.500
0.000 0.000 0.000
0.250 0.250 0.250



EuH2Au | the Alexandria database | PBE-GGA | relaxed; electronic total energy = -21.9 eV for the cell shown; symmetry = R-3m (166)
1.0
-1.924 2.602 2.822
-4.252 0.576 -0.163
-2.596 -2.170 3.498
H Au Eu
2 1 1
Direct
0.866 0.866 0.403
0.134 0.134 0.597
0.000 0.000 0.000
0.500 0.500 0.500



EuHfAu2 | the Alexandria database | PBE-GGA | relaxed; energy of formation = -569 meV/atom; distance to the lowest polymorph of the same formula = 0.00 eV/f.u.; electronic total energy = -29.1 eV for the cell shown; symmetry = P4/mmm (123)
1.0
3.485 0.000 0.000
0.000 3.485 0.000
0.000 0.000 7.464
Hf Au Eu
1 2 1
Direct
0.500 0.500 0.000
0.000 0.000 0.204
0.000 0.000 0.796
0.500 0.500 0.500



EuHfAu2 | the Alexandria database | PBE-GGA | relaxed; energy of formation = -482 meV/atom; distance to the lowest polymorph of the same formula = 0.35 eV/f.u.; electronic total energy = -28.7 eV for the cell shown; symmetry = P4/mmm (123)
1.0
3.404 0.000 0.000
0.000 5.104 0.000
0.000 0.000 5.104
Au Hf Eu
2 1 1
Direct
0.000 0.000 0.500
0.000 0.500 0.000
0.500 0.000 0.000
0.500 0.500 0.500



EuHg2Au | the Alexandria database | PBE-GGA | relaxed; energy of formation = -411 meV/atom; electronic total energy = -15.8 eV for the cell shown; symmetry = Fm-3m (225)
1.0
-0.944 -4.258 2.745
1.191 -4.627 -1.931
3.911 -2.697 1.998
Au Hg Eu
1 2 1
Direct
0.500 0.500 0.500
0.750 0.750 0.750
0.250 0.250 0.250
0.000 0.000 0.000



Eu2HgAu | the Alexandria database | PBE-GGA | relaxed; energy of formation = -663 meV/atom; distance to the lowest polymorph of the same formula = 0.00 eV/f.u.; electronic total energy = -26.8 eV for the cell shown; symmetry = P4/mmm (123)
1.0
3.799 0.000 0.000
0.000 3.799 0.000
0.000 0.000 7.705
Hg Eu Au
1 2 1
Direct
0.500 0.500 0.500
0.000 0.000 0.237
0.000 0.000 0.763
0.500 0.500 0.000